A relaxed structure of ZrSnN2F. Source: Alexandria via LeMat-Bulk, functional PBE-GGA. Values from VASP.

Cell and atoms, written as Quantum ESPRESSO input:
```
&SYSTEM
  ibrav = 0, nat = 5, ntyp = 4
/
ATOMIC_SPECIES
N 14.01 N.upf
Sn 118.71 Sn.upf
Zr 91.22 Zr.upf
F 19.00 F.upf
ATOMIC_POSITIONS crystal
N 0.0000 0.5000 0.0000
N 0.5000 0.0000 0.0000
Sn 0.0000 0.0000 0.0000
Zr 0.5000 0.5000 0.5000
F 0.0000 0.0000 0.5000
CELL_PARAMETERS angstrom
4.1454 0.0000 0.0000
0.0000 4.1454 0.0000
0.0000 0.0000 3.9798
```

Values from the calculation:
E_form (uncorrected)   -64 meV/atom
Total energy   -6.28 eV per atom
Crystal system   tetragonal
DOS at the Fermi energy   0.654 states/eV/atom
ΔE to the lowest computed polymorph   3.37 eV/f.u.

=====

A relaxed structure of ZrSnN2F. Source: Alexandria via LeMat-Bulk, functional PBE-GGA. Values from VASP.

Cell and atoms, written as Quantum ESPRESSO input:
```
&SYSTEM
  ibrav = 0, nat = 5, ntyp = 4
/
ATOMIC_SPECIES
N 14.01 N.upf
Sn 118.71 Sn.upf
Zr 91.22 Zr.upf
F 19.00 F.upf
ATOMIC_POSITIONS crystal
N 0.0000 0.5000 0.0000
N 0.5000 0.0000 0.0000
Sn 0.5000 0.5000 0.5000
Zr 0.0000 0.0000 0.0000
F 0.0000 0.0000 0.5000
CELL_PARAMETERS angstrom
4.3037 0.0000 0.0000
0.0000 4.3037 0.0000
0.0000 0.0000 4.1965
```

Values from the calculation:
E_form (uncorrected)   -739 meV/atom
Total energy   -6.95 eV per atom
Crystal system   tetragonal
DOS at the Fermi energy   0.616 states/eV/atom
ΔE to the lowest computed polymorph   0.00 eV/f.u.

=====

A relaxed structure of Sr4N2F5. Source: Alexandria via LeMat-Bulk, functional PBE-GGA. Values from VASP.

Cell and atoms, written as Quantum ESPRESSO input:
```
&SYSTEM
  ibrav = 0, nat = 11, ntyp = 3
/
ATOMIC_SPECIES
Sr 87.62 Sr.upf
N 14.01 N.upf
F 19.00 F.upf
ATOMIC_POSITIONS crystal
Sr 0.7052 0.7053 0.4104
Sr 0.9999 0.7413 0.9998
Sr 0.2948 0.2947 0.5896
Sr 0.0001 0.2587 0.0002
N 0.5449 0.5449 0.0898
N 0.4551 0.4551 0.9102
F 0.1757 0.9181 0.3514
F 0.8243 0.0819 0.6486
F 0.1758 0.4337 0.3516
F 0.5000 0.0000 0.0000
F 0.8242 0.5663 0.6484
CELL_PARAMETERS angstrom
-0.0012 -2.9029 2.4229
6.8974 0.3846 0.4642
-4.0987 6.0606 4.3088
```

Values from the calculation:
E_form (uncorrected)   -2775 meV/atom
Total energy   -5.75 eV per atom
Crystal system   orthorhombic
DOS at the Fermi energy   0.151 states/eV/atom

=====

A relaxed structure of SrN2F2. Source: Alexandria via LeMat-Bulk, functional PBE-GGA. Values from VASP.

Cell and atoms, written as Quantum ESPRESSO input:
```
&SYSTEM
  ibrav = 0, nat = 5, ntyp = 3
/
ATOMIC_SPECIES
Sr 87.62 Sr.upf
N 14.01 N.upf
F 19.00 F.upf
ATOMIC_POSITIONS crystal
Sr 0.0000 0.0000 0.0000
N 0.5000 0.5000 0.5000
N 0.0000 0.0000 0.5000
F 0.0000 0.5000 0.0000
F 0.5000 0.0000 0.0000
CELL_PARAMETERS angstrom
4.6937 0.0000 0.0000
0.0000 4.6937 0.0000
0.0000 0.0000 6.1406
```

Values from the calculation:
E_form (uncorrected)   -3 meV/atom
Total energy   -4.42 eV per atom
Crystal system   tetragonal
ΔE to the lowest computed polymorph   11.37 eV/f.u.

=====

A relaxed structure of Sr4NF5. Source: Alexandria via LeMat-Bulk, functional PBE-GGA. Values from VASP.

Cell and atoms, written as Quantum ESPRESSO input:
```
&SYSTEM
  ibrav = 0, nat = 10, ntyp = 3
/
ATOMIC_SPECIES
Sr 87.62 Sr.upf
N 14.01 N.upf
F 19.00 F.upf
ATOMIC_POSITIONS crystal
Sr 0.6924 0.1926 0.3847
Sr 0.9998 0.2458 0.9996
Sr 0.3076 0.8074 0.6153
Sr 0.0002 0.7542 0.0004
N 0.5000 0.0000 0.0000
F 0.1765 0.4065 0.3530
F 0.1768 0.9478 0.3536
F 0.8232 0.0522 0.6464
F 0.5000 0.5000 0.0000
F 0.8235 0.5935 0.6470
CELL_PARAMETERS angstrom
3.8626 0.0000 0.0000
0.0000 6.9473 -0.7980
-1.9313 -2.6707 7.3460
```

Values from the calculation:
E_form (uncorrected)   -3075 meV/atom
Total energy   -5.52 eV per atom
Crystal system   orthorhombic
DOS at the Fermi energy   0.000 states/eV/atom

=====

A relaxed structure of Sr4N2F. Source: Alexandria via LeMat-Bulk, functional PBE-GGA. Values from VASP.

Cell and atoms, written as Quantum ESPRESSO input:
```
&SYSTEM
  ibrav = 0, nat = 14, ntyp = 3
/
ATOMIC_SPECIES
Sr 87.62 Sr.upf
N 14.01 N.upf
F 19.00 F.upf
ATOMIC_POSITIONS crystal
Sr 0.7600 0.5199 0.1056
Sr 0.7600 0.5199 0.3944
Sr 0.2400 0.4801 0.8944
Sr 0.2400 0.4801 0.6056
Sr 0.9196 0.8392 0.7500
Sr 0.0804 0.1608 0.2500
Sr 0.5000 0.0000 0.0000
Sr 0.5000 0.0000 0.5000
N 0.1349 0.2698 0.4425
N 0.8651 0.7302 0.9425
N 0.1349 0.2698 0.0575
N 0.8651 0.7302 0.5575
F 0.7290 0.4580 0.7500
F 0.2710 0.5420 0.2500
CELL_PARAMETERS angstrom
3.8164 0.0000 0.0000
-1.9082 6.6760 0.0000
0.0000 0.0000 13.2784
```

Values from the calculation:
E_form (uncorrected)   -1110 meV/atom
Total energy   -4.72 eV per atom
Crystal system   orthorhombic
DOS at the Fermi energy   0.165 states/eV/atom

=====

A relaxed structure of Sr5NF5. Source: Alexandria via LeMat-Bulk, functional PBE-GGA. Values from VASP.

Cell and atoms, written as Quantum ESPRESSO input:
```
&SYSTEM
  ibrav = 0, nat = 11, ntyp = 3
/
ATOMIC_SPECIES
Sr 87.62 Sr.upf
N 14.01 N.upf
F 19.00 F.upf
ATOMIC_POSITIONS crystal
Sr 0.8607 0.7214 0.1847
Sr 0.8514 0.7028 0.6797
Sr 0.5000 0.0000 0.0000
Sr 0.1486 0.2972 0.3203
Sr 0.1393 0.2786 0.8153
N 0.0000 0.0000 0.0000
F 0.7312 0.4625 0.3569
F 0.7294 0.4587 0.8702
F 0.0000 0.0000 0.5000
F 0.2706 0.5413 0.1298
F 0.2688 0.5375 0.6431
CELL_PARAMETERS angstrom
5.0007 0.0000 0.0000
-2.5004 6.6857 0.0361
0.0000 -2.4666 7.3451
```

Values from the calculation:
E_form (uncorrected)   -2621 meV/atom
Total energy   -4.99 eV per atom
Crystal system   monoclinic
DOS at the Fermi energy   0.208 states/eV/atom

=====

A relaxed structure of SrN2F2. Source: Alexandria via LeMat-Bulk, functional PBE-GGA. Values from VASP.

Cell and atoms, written as Quantum ESPRESSO input:
```
&SYSTEM
  ibrav = 0, nat = 5, ntyp = 3
/
ATOMIC_SPECIES
Sr 87.62 Sr.upf
N 14.01 N.upf
F 19.00 F.upf
ATOMIC_POSITIONS crystal
Sr 0.0000 0.0000 0.0000
N 0.4132 0.4132 0.1737
N 0.5868 0.5868 0.8263
F 0.7500 0.2500 0.5000
F 0.2500 0.7500 0.5000
CELL_PARAMETERS angstrom
4.6562 0.0000 0.0000
0.0000 4.6562 0.0000
2.3281 2.3281 3.2064
```

Values from the calculation:
E_form (uncorrected)   -2012 meV/atom
Total energy   -6.43 eV per atom
Crystal system   tetragonal
DOS at the Fermi energy   0.000 states/eV/atom
ΔE to the lowest computed polymorph   1.32 eV/f.u.

=====

Copy entry 5 word for word.
A relaxed structure of Sr4NF5. Source: Alexandria via LeMat-Bulk, functional PBE-GGA. Values from VASP.

Cell and atoms, written as Quantum ESPRESSO input:
```
&SYSTEM
  ibrav = 0, nat = 10, ntyp = 3
/
ATOMIC_SPECIES
Sr 87.62 Sr.upf
N 14.01 N.upf
F 19.00 F.upf
ATOMIC_POSITIONS crystal
Sr 0.6924 0.1926 0.3847
Sr 0.9998 0.2458 0.9996
Sr 0.3076 0.8074 0.6153
Sr 0.0002 0.7542 0.0004
N 0.5000 0.0000 0.0000
F 0.1765 0.4065 0.3530
F 0.1768 0.9478 0.3536
F 0.8232 0.0522 0.6464
F 0.5000 0.5000 0.0000
F 0.8235 0.5935 0.6470
CELL_PARAMETERS angstrom
3.8626 0.0000 0.0000
0.0000 6.9473 -0.7980
-1.9313 -2.6707 7.3460
```

Values from the calculation:
E_form (uncorrected)   -3075 meV/atom
Total energy   -5.52 eV per atom
Crystal system   orthorhombic
DOS at the Fermi energy   0.000 states/eV/atom

=====

- What is the E_form (uncorrected) in the second record?
  -739 meV/atom

=====

- The lowest E_form (uncorrected) belongs to which entry?
  Sr4NF5